# 1
This record from Alexandria describes a relaxed Sc2TlSi crystal. The functional is PBE-GGA.

```
Sc2TlSi
1.0
1.6541 0.9550 9.6246
-1.6541 0.9550 9.6246
0.0000 -1.9100 9.6246
Sc Tl Si
2 1 1
Direct
0.0000 0.0000 0.0000 Sc
0.2442 0.2442 0.2442 Sc
0.4871 0.4871 0.4871 Tl
0.7404 0.7404 0.7404 Si
```

Computed properties:
E   -19.97 eV/cell

---

# 2
This record from Alexandria describes a relaxed Sc2TlSi crystal. The functional is PBE-GGA.

```
Sc2TlSi
1.0
3.4284 0.0000 0.0000
0.0000 3.4284 0.0000
0.0000 0.0000 7.5870
Sc Tl Si
2 1 1
Direct
0.0000 0.0000 0.0000 Sc
0.5000 0.5000 0.2808 Sc
0.5000 0.5000 0.7191 Tl
0.0000 0.0000 0.4740 Si
```

Computed properties:
E   -20.42 eV/cell

---

# 3
This record from Alexandria describes a relaxed Sc2TlSi crystal. The functional is PBE-GGA.

```
Sc2TlSi
1.0
3.1480 0.0000 0.0000
0.0000 3.1480 0.0000
0.0000 0.0000 8.2698
Sc Tl Si
2 1 1
Direct
0.0000 0.0000 0.2147 Sc
0.0000 0.0000 0.7853 Sc
0.5000 0.5000 0.5000 Tl
0.5000 0.5000 0.0000 Si
```

Computed properties:
E   -22.07 eV/cell

---

# 4
This record from Alexandria describes a relaxed ScTlSi crystal. The functional is PBE-GGA.

```
ScTlSi
1.0
1.8194 1.0504 11.7986
-1.8194 1.0504 11.7986
0.0000 -2.1009 11.7986
Sc Tl Si
2 2 2
Direct
0.1010 0.1010 0.1010 Sc
0.8990 0.8990 0.8990 Sc
0.3671 0.3671 0.3671 Tl
0.6329 0.6329 0.6329 Tl
0.1821 0.1821 0.1821 Si
0.8179 0.8179 0.8179 Si
```

Computed properties:
Energy above the most stable polymorph in this dataset   0.0 meV/atom

---

# 5
This record from Alexandria describes a relaxed ScTl2Si crystal. The functional is PBE-GGA.

```
ScTl2Si
1.0
0.0000 3.6328 3.6328
3.6328 0.0000 3.6328
3.6328 3.6328 0.0000
Sc Tl Si
1 2 1
Direct
0.0000 0.0000 0.0000 Sc
0.2500 0.2500 0.2500 Tl
0.5000 0.5000 0.5000 Tl
0.7500 0.7500 0.7500 Si
```

Computed properties:
Energy above the most stable polymorph in this dataset   270.4 meV/atom

---

# 6
This record from Alexandria describes a relaxed Sc2TlSi crystal. The functional is PBE-GGA.

```
Sc2TlSi
1.0
1.7861 1.0312 8.2259
-1.7861 1.0312 8.2259
0.0000 -2.0624 8.2259
Sc Tl Si
2 1 1
Direct
0.2353 0.2353 0.2353 Sc
0.7647 0.7647 0.7647 Sc
0.0000 0.0000 0.0000 Tl
0.5000 0.5000 0.5000 Si
```

Computed properties:
E   -21.91 eV/cell

---

# 7
This record from Alexandria describes a relaxed ScTlSi2 crystal. The functional is PBE-GGA.

```
ScTlSi2
1.0
3.6316 0.0000 0.0000
0.0000 3.7704 0.0000
0.0000 0.0000 6.1670
Sc Tl Si
1 1 2
Direct
0.0000 0.0000 0.0000 Sc
0.0000 0.0000 0.5000 Tl
0.5000 0.5000 0.1881 Si
0.5000 0.5000 0.8119 Si
```

Computed properties:
Energy above the most stable polymorph in this dataset   5.8 meV/atom

---

# 8
This record from Alexandria describes a relaxed ScTlSi3 crystal. The functional is PBE-GGA.

```
ScTlSi3
1.0
5.0984 0.0000 0.0000
0.0000 5.0984 0.0000
0.0000 0.0000 5.0984
Sc Tl Si
1 1 3
Direct
0.0000 0.0000 0.0000 Sc
0.5000 0.5000 0.5000 Tl
0.0000 0.0000 0.5000 Si
0.0000 0.5000 0.0000 Si
0.5000 0.0000 0.0000 Si
```

Computed properties:
Energy above the most stable polymorph in this dataset   0.0 meV/atom

---

# 9
This record from Alexandria describes a relaxed Tm3ScSi2 crystal. The functional is PBE-GGA.

```
Tm3ScSi2
1.0
-2.1013 2.1370 7.6921
2.1013 -2.1370 7.6921
2.1013 2.1370 -7.6921
Tm Sc Si
3 1 2
Direct
0.0000 0.0000 0.0000 Tm
0.1787 0.6787 0.5000 Tm
0.8213 0.3213 0.5000 Tm
0.5000 0.5000 0.0000 Sc
0.3673 0.8673 0.5000 Si
0.6327 0.1327 0.5000 Si
```

Computed properties:
E   -34.06 eV/cell

---

# 10
This record from Alexandria describes a relaxed TmSc2Si crystal. The functional is PBE-GGA.

```
TmSc2Si
1.0
1.6900 0.9757 9.5387
-1.6900 0.9757 9.5387
0.0000 -1.9514 9.5387
Tm Sc Si
1 2 1
Direct
0.0000 0.0000 0.0000 Tm
0.2336 0.2336 0.2336 Sc
0.7664 0.7664 0.7664 Sc
0.5000 0.5000 0.5000 Si
```

Computed properties:
Energy above the most stable polymorph in this dataset   171.7 meV/atom

---

# 11
This record from Alexandria describes a relaxed Tm4ScSi4 crystal. The functional is PBE-GGA.

```
Tm4ScSi4
1.0
8.6026 0.0000 0.0000
0.0000 8.6026 0.0000
0.0000 0.0000 5.6937
Tm Sc Si
8 2 8
Direct
0.0648 0.6683 0.1181 Tm
0.1683 0.9352 0.6181 Tm
0.3317 0.5648 0.6181 Tm
0.4352 0.8317 0.1181 Tm
0.5648 0.1683 0.8819 Tm
0.6683 0.4352 0.3819 Tm
0.8317 0.0648 0.3819 Tm
0.9352 0.3317 0.8819 Tm
0.2500 0.2500 0.2500 Sc
0.7500 0.7500 0.7500 Sc
0.0084 0.6212 0.6129 Si
0.1212 0.9916 0.1129 Si
0.3788 0.5084 0.1129 Si
0.4916 0.8788 0.6129 Si
0.5084 0.1212 0.3871 Si
0.6212 0.4916 0.8871 Si
0.8788 0.0084 0.8871 Si
0.9916 0.3788 0.3871 Si
```

Computed properties:
E   -100.90 eV/cell

---

# 12
This record from Alexandria describes a relaxed TmSc2Si crystal. The functional is PBE-GGA.

```
TmSc2Si
1.0
4.3795 0.0000 0.0000
0.0000 4.3795 0.0000
0.0000 0.0000 4.4195
Tm Sc Si
1 2 1
Direct
0.0000 0.0000 0.0000 Tm
0.0000 0.5000 0.5000 Sc
0.5000 0.0000 0.5000 Sc
0.5000 0.5000 0.0000 Si
```

Computed properties:
Energy above the most stable polymorph in this dataset   0.0 meV/atom

---

# 13
This record from Alexandria describes a relaxed TmScZnSi crystal. The functional is PBE-GGA.

```
TmScZnSi
1.0
0.0000 3.3875 3.3875
3.3875 0.0000 3.3875
3.3875 3.3875 0.0000
Tm Sc Zn Si
1 1 1 1
Direct
0.0000 0.0000 0.0000 Tm
0.5000 0.5000 0.5000 Sc
0.7500 0.7500 0.7500 Zn
0.2500 0.2500 0.2500 Si
```

Computed properties:
E   -19.34 eV/cell

---

# 14
This record from Alexandria describes a relaxed ScV3Si crystal. The functional is PBE-GGA.

```
ScV3Si
1.0
4.4707 0.0000 0.0000
0.0000 4.4707 0.0000
0.0000 0.0000 4.4707
Sc V Si
1 3 1
Direct
0.0000 0.0000 0.0000 Sc
0.0000 0.5000 0.5000 V
0.5000 0.0000 0.5000 V
0.5000 0.5000 0.0000 V
0.5000 0.5000 0.5000 Si
```

Computed properties:
Energy above the most stable polymorph in this dataset   0.0 meV/atom

---

# 15
This record from Alexandria describes a relaxed Sc2V3Si3 crystal. The functional is PBE-GGA.

```
Sc2V3Si3
1.0
7.3859 0.0000 0.0000
-3.6930 6.3964 0.0000
0.0000 0.0000 5.3726
Sc V Si
4 6 6
Direct
0.3333 0.6667 0.0000 Sc
0.3333 0.6667 0.5000 Sc
0.6667 0.3333 0.0000 Sc
0.6667 0.3333 0.5000 Sc
0.0000 0.2457 0.2500 V
0.0000 0.7543 0.7500 V
0.2457 0.0000 0.2500 V
0.2457 0.2457 0.7500 V
0.7543 0.0000 0.7500 V
0.7543 0.7543 0.2500 V
0.0000 0.3767 0.7500 Si
0.0000 0.6233 0.2500 Si
0.3767 0.0000 0.7500 Si
0.3767 0.3767 0.2500 Si
0.6233 0.0000 0.2500 Si
0.6233 0.6233 0.7500 Si
```

Computed properties:
E   -117.69 eV/cell

---

# 16
This record from Alexandria describes a relaxed ScV2Si2 crystal. The functional is PBE-GGA.

```
ScV2Si2
1.0
-2.2855 2.2855 3.8961
2.2855 -2.2855 3.8961
2.2855 2.2855 -3.8961
Sc V Si
1 2 2
Direct
0.0000 0.0000 0.0000 Sc
0.3548 0.3548 0.0000 V
0.6452 0.6452 0.0000 V
0.2500 0.7500 0.5000 Si
0.7500 0.2500 0.5000 Si
```

Computed properties:
Energy above the most stable polymorph in this dataset   477.4 meV/atom

---

# 17
This record from Alexandria describes a relaxed Sc2VSi2 crystal. The functional is PBE-GGA.

```
Sc2VSi2
1.0
6.6618 0.0000 0.0000
0.0000 6.6618 0.0000
0.0000 0.0000 3.9167
Sc V Si
4 2 4
Direct
0.1747 0.3253 0.0000 Sc
0.3253 0.8253 0.0000 Sc
0.6747 0.1747 0.0000 Sc
0.8253 0.6747 0.0000 Sc
0.0000 0.0000 0.5000 V
0.5000 0.5000 0.5000 V
0.1285 0.6285 0.5000 Si
0.3715 0.1285 0.5000 Si
0.6285 0.8715 0.5000 Si
0.8715 0.3715 0.5000 Si
```

Computed properties:
E   -71.60 eV/cell

---

# 18
This record from Alexandria describes a relaxed Sc2V3Si4 crystal. The functional is PBE-GGA.

```
Sc2V3Si4
1.0
6.6316 0.0000 0.0000
0.0000 6.6228 0.0000
-2.1589 0.0000 6.1381
Sc V Si
4 6 8
Direct
0.1873 0.1687 0.0599 Sc
0.1873 0.3313 0.5599 Sc
0.8127 0.6687 0.4401 Sc
0.8127 0.8313 0.9401 Sc
0.2555 0.6751 0.2471 V
0.2555 0.8249 0.7471 V
0.5000 0.0000 0.5000 V
0.5000 0.5000 0.0000 V
0.7445 0.1751 0.2529 V
0.7445 0.3249 0.7529 V
0.0833 0.5380 0.8630 Si
0.0833 0.9620 0.3630 Si
0.4932 0.1289 0.8680 Si
0.4932 0.3711 0.3680 Si
0.5068 0.6289 0.6320 Si
0.5068 0.8711 0.1320 Si
0.9167 0.0380 0.6370 Si
0.9167 0.4620 0.1370 Si
```

Computed properties:
Energy above the most stable polymorph in this dataset   3.0 meV/atom

---

# 19
This record from Alexandria describes a relaxed ScV2Si2 crystal. The functional is PBE-GGA.

```
ScV2Si2
1.0
-1.8598 1.8598 5.5957
1.8598 -1.8598 5.5957
1.8598 1.8598 -5.5957
Sc V Si
1 2 2
Direct
0.0000 0.0000 0.0000 Sc
0.2500 0.7500 0.5000 V
0.7500 0.2500 0.5000 V
0.3962 0.3962 0.0000 Si
0.6038 0.6038 0.0000 Si
```

Computed properties:
Energy above the most stable polymorph in this dataset   0.0 meV/atom

---

# 20
This record from Alexandria describes a relaxed ScV2Si crystal. The functional is PBE-GGA.

```
ScV2Si
1.0
-3.5934 3.5934 2.5801
3.5934 -3.5934 2.5801
3.5934 3.5934 -2.5801
Sc V Si
2 4 2
Direct
0.0000 0.0000 0.0000 Sc
0.7500 0.2500 0.5000 Sc
0.1685 0.1250 0.5435 V
0.3750 0.8315 0.9565 V
0.5815 0.6250 0.4565 V
0.8750 0.4185 0.0435 V
0.2500 0.7500 0.5000 Si
0.5000 0.5000 0.0000 Si
```

Computed properties:
E   -57.98 eV/cell

---

# 21
This record from Alexandria describes a relaxed ScV3Si crystal. The functional is PBE-GGA.

```
ScV3Si
1.0
4.3783 0.0000 0.0000
0.0000 4.3783 0.0000
0.0000 0.0000 4.3783
Sc V Si
1 3 1
Direct
0.0000 0.0000 0.0000 Sc
0.0000 0.0000 0.5000 V
0.0000 0.5000 0.0000 V
0.5000 0.0000 0.0000 V
0.5000 0.5000 0.5000 Si
```

Computed properties:
Energy above the most stable polymorph in this dataset   1134.5 meV/atom

---

# 22
This record from Alexandria describes a relaxed Sc2VSi crystal. The functional is PBE-GGA.

```
Sc2VSi
1.0
-3.7623 3.7623 2.6605
3.7623 -3.7623 2.6605
3.7623 3.7623 -2.6605
Sc V Si
4 2 2
Direct
0.1079 0.6250 0.9829 Sc
0.3750 0.3579 0.4829 Sc
0.6421 0.1250 0.0171 Sc
0.8750 0.8921 0.5171 Sc
0.2500 0.7500 0.5000 V
0.5000 0.5000 0.0000 V
0.0000 0.0000 0.0000 Si
0.7500 0.2500 0.5000 Si
```

Computed properties:
E   -52.28 eV/cell

---

# 23
This record from Alexandria describes a relaxed Sc2V2Si crystal. The functional is PBE-GGA.

```
Sc2V2Si
1.0
6.4985 0.0000 0.0000
0.0000 6.4985 0.0000
0.0000 0.0000 4.1182
Sc V Si
4 4 2
Direct
0.1696 0.3304 0.0000 Sc
0.3304 0.8304 0.0000 Sc
0.6696 0.1696 0.0000 Sc
0.8304 0.6696 0.0000 Sc
0.1320 0.6320 0.5000 V
0.3680 0.1320 0.5000 V
0.6320 0.8680 0.5000 V
0.8680 0.3680 0.5000 V
0.0000 0.0000 0.5000 Si
0.5000 0.5000 0.5000 Si
```

Computed properties:
E   -73.57 eV/cell

---

# 24
This record from Alexandria describes a relaxed ScV5Si5 crystal. The functional is PBE-GGA.

```
ScV5Si5
1.0
8.9248 -2.4675 0.0000
8.9248 2.4675 0.0000
-3.2332 0.0000 6.8765
Sc V Si
2 10 10
Direct
0.1426 0.1426 0.0300 Sc
0.8574 0.8574 0.9700 Sc
0.0630 0.5598 0.3111 V
0.0650 0.0650 0.3194 V
0.3584 0.3584 0.7394 V
0.4366 0.4366 0.1926 V
0.4402 0.9370 0.6889 V
0.5598 0.0630 0.3111 V
0.5634 0.5634 0.8074 V
0.6416 0.6416 0.2606 V
0.9350 0.9350 0.6806 V
0.9370 0.4402 0.6889 V
0.0631 0.0631 0.6469 Si
0.2162 0.2162 0.4252 Si
0.2538 0.7462 0.0000 Si
0.2883 0.2883 0.9871 Si
0.4359 0.4359 0.5245 Si
0.5641 0.5641 0.4755 Si
0.7117 0.7117 0.0129 Si
0.7462 0.2538 0.0000 Si
0.7838 0.7838 0.5748 Si
0.9369 0.9369 0.3531 Si
```

Computed properties:
E   -171.60 eV/cell